[1]
Tl3RhCl6 | GGA-PBE | optimized geometry

Cell: 7.1030 7.1030 7.7706 Å, 111.67 111.67 101.07°
Closest atoms and distances in Å follow each position.
Sites, in units of the cell vectors:
Cl: 0.6836 0.6836 0.7376  1 Rh 2.36
Rh: 0.0000 0.0000 0.0000  6 Cl 2.36-2.39
Tl: 0.5000 0.5000 0.0000  6 Cl 3.09-3.29
Tl: 0.7500 0.2500 0.5000  4 Cl 3.18
Cl: 0.0540 0.0540 0.7376  1 Rh 2.36
Cl: 0.7819 0.2181 0.0000  1 Rh 2.39
Cl: 0.9460 0.9460 0.2624  1 Rh 2.36
Cl: 0.3164 0.3164 0.2624  1 Rh 2.36
Cl: 0.2181 0.7819 0.0000  1 Rh 2.39
Tl: 0.2500 0.7500 0.5000  4 Cl 3.18

Results
**Volume**: 31.31 A^3/atom
**Energy above the lowest structure with this stoichiometry**: 43 meV per atom
**Uncorrected formation energy**: -817.5 meV per atom

[2]
TlRh2Cl | GGA-PBE | optimized geometry

Cell: 3.0944 3.0944 7.9383 Å, 90.00 90.00 90.01°
Closest atoms and distances in Å follow each position.
Sites, in units of the cell vectors:
Rh: 0.0000 0.0000 0.0160  4 Rh 2.70, 4 Cl 2.76
Cl: 0.5000 0.5000 0.8031  4 Rh 2.76, 4 Cl 3.09
Tl: 0.0000 0.0000 0.4664  4 Rh 2.96, 4 Tl 3.09
Rh: 0.5000 0.5000 0.2145  4 Rh 2.70, 4 Tl 2.96

Results
**D(E_F)**: 4.1 states/eV/f.u.
**Volume**: 19.00 A^3/atom
**Energy above the lowest structure with this stoichiometry**: 82 meV per atom
**Uncorrected formation energy**: 219.4 meV per atom

[3]
Tl2Rh2Cl | GGA-PBE | optimized geometry

Cell: 5.4421 5.4421 5.4033 Å, 59.76 59.76 90.00°
Closest atoms and distances in Å follow each position.
Sites, in units of the cell vectors:
Tl: 0.2500 0.7500 0.5000  4 Rh 2.80
Rh: 0.6604 0.6604 0.6792  1 Rh 2.43, 1 Cl 2.58
Cl: 0.0000 0.0000 0.0000  2 Rh 2.58
Tl: 0.7500 0.2500 0.5000  4 Rh 2.80
Rh: 0.3396 0.3396 0.3208  1 Rh 2.43, 1 Cl 2.58

Results
**D(E_F)**: 5.3 states/eV/f.u.
**Volume**: 22.47 A^3/atom
**Energy above the lowest structure with this stoichiometry**: 117 meV per atom
**Uncorrected formation energy**: 205.0 meV per atom

[4]
TlRhCl | GGA-PBE | optimized geometry

Cell: 4.4713 4.4713 3.4986 Å, 90.00 90.00 120.00°
Closest atoms and distances in Å follow each position.
Sites, in units of the cell vectors:
Rh: 0.3333 0.6667 0.1666  3 Cl 2.58
Tl: 0.6667 0.3333 0.6664  6 Cl 3.12, 6 Rh 3.12
Cl: 0.0000 0.0000 0.1670  3 Rh 2.58

Results
**D(E_F)**: 3.0 states/eV/f.u.
**Volume**: 20.19 A^3/atom
**Energy above the lowest structure with this stoichiometry**: 26 meV per atom
**Uncorrected formation energy**: 120.6 meV per atom

[5]
TlRh2Cl | GGA-PBE | optimized geometry

Cell: 5.6464 5.6464 5.6464 Å, 140.42 140.42 57.21°
Closest atoms and distances in Å follow each position.
Sites, in units of the cell vectors:
Rh: 0.2500 0.7500 0.5000  4 Cl 2.70
Cl: 0.7500 0.2500 0.5000  4 Rh 2.70
Tl: 0.5000 0.5000 0.0000  4 Rh 2.70
Rh: 0.0000 0.0000 0.0000  4 Tl 2.70

Results
**D(E_F)**: 6.0 states/eV/f.u.
**Volume**: 18.12 A^3/atom
**Energy above the lowest structure with this stoichiometry**: 350 meV per atom
**Uncorrected formation energy**: 486.9 meV per atom

[6]
Tl3RhCl6 | GGA-PBE | optimized geometry

Cell: 7.1043 7.8931 10.5458 Å, 90.00 88.79 90.00°
Closest atoms and distances in Å follow each position.
Sites, in units of the cell vectors:
Tl: 0.0272 0.5673 0.2551  6 Cl 3.21-3.45
Cl: 0.9063 0.9565 0.2148  1 Rh 2.37
Cl: 0.3406 0.7531 0.4419  1 Rh 2.38
Rh: 0.0000 0.0000 0.0000  6 Cl 2.37-2.38
Rh: 0.5000 0.5000 0.5000  6 Cl 2.37-2.38
Cl: 0.4063 0.5435 0.7148  1 Rh 2.37
Cl: 0.2787 0.8408 0.0314  1 Rh 2.37
Cl: 0.7213 0.1592 0.9686  1 Rh 2.37
Cl: 0.8406 0.7469 0.9419  1 Rh 2.38
Cl: 0.1594 0.2531 0.0581  1 Rh 2.38
Tl: 0.5000 0.5000 0.0000  6 Cl 3.11-3.16
Cl: 0.0937 0.0435 0.7852  1 Rh 2.37
Tl: 0.5272 0.9327 0.7551  6 Cl 3.21-3.45
Cl: 0.2213 0.3408 0.4686  1 Rh 2.37
Cl: 0.5937 0.4565 0.2852  1 Rh 2.37
Cl: 0.7787 0.6592 0.5314  1 Rh 2.37
Tl: 0.4728 0.0673 0.2449  6 Cl 3.21-3.45
Tl: 0.0000 0.0000 0.5000  6 Cl 3.11-3.16
Tl: 0.9728 0.4327 0.7449  6 Cl 3.21-3.45
Cl: 0.6594 0.2469 0.5581  1 Rh 2.38

Results
**Volume**: 29.56 A^3/atom
**Energy above the lowest structure with this stoichiometry**: 0 meV per atom
**Uncorrected formation energy**: -861.0 meV per atom

[7]
TlRhCl | GGA-PBE | optimized geometry

Cell: 6.0242 6.0208 3.3918 Å, 73.70 73.59 32.71°
Closest atoms and distances in Å follow each position.
Sites, in units of the cell vectors:
Cl: 0.9766 0.9766 0.0234  4 Rh 2.93-2.94, 1 Tl 3.06
Tl: 0.6996 0.6996 0.3004  4 Rh 2.76-2.77, 1 Cl 3.06
Rh: 0.3238 0.3238 0.6762  4 Tl 2.76-2.77, 4 Cl 2.93-2.94

Results
**D(E_F)**: 3.2 states/eV/f.u.
**Volume**: 21.18 A^3/atom
**Energy above the lowest structure with this stoichiometry**: 52 meV per atom
**Uncorrected formation energy**: 146.4 meV per atom

[8]
TlRh2Cl | GGA-PBE | optimized geometry

Cell: 4.7823 4.7823 8.3305 Å, 73.32 73.32 90.00°
Closest atoms and distances in Å follow each position.
Sites, in units of the cell vectors:
Rh: 0.8750 0.7386 0.7500  2 Cl 2.31
Cl: 0.5000 0.5000 0.0000  4 Rh 2.31
Tl: 0.7500 0.2500 0.5000  4 Rh 2.91
Rh: 0.2614 0.6250 0.2500  2 Cl 2.31
Rh: 0.3750 0.5114 0.7500  2 Cl 2.31
Rh: 0.4886 0.1250 0.2500  2 Cl 2.31
Cl: 0.2500 0.7500 0.5000  4 Rh 2.31
Tl: 0.0000 0.0000 0.0000  4 Rh 2.91

Results
**D(E_F)**: 0.7 states/eV/f.u.
**Volume**: 21.76 A^3/atom
**Energy above the lowest structure with this stoichiometry**: 179 meV per atom
**Uncorrected formation energy**: 316.2 meV per atom

[9]
TlRh2Cl | GGA-PBE | optimized geometry

Cell: 4.6902 4.6902 4.6902 Å, 60.00 60.00 60.00°
Closest atoms and distances in Å follow each position.
Sites, in units of the cell vectors:
Cl: 0.5000 0.5000 0.5000  4 Rh 2.87, 4 Tl 2.87
Rh: 0.0000 0.0000 0.0000  4 Tl 2.87, 4 Rh 2.87
Rh: 0.2500 0.2500 0.2500  4 Cl 2.87, 4 Rh 2.87
Tl: 0.7500 0.7500 0.7500  4 Cl 2.87, 4 Rh 2.87

Results
**D(E_F)**: 3.5 states/eV/f.u.
**Volume**: 18.24 A^3/atom
**Energy above the lowest structure with this stoichiometry**: 379 meV per atom
**Uncorrected formation energy**: 515.9 meV per atom

[10]
TlRh2Cl | GGA-PBE | optimized geometry

Cell: 3.1499 3.1499 8.4156 Å, 90.00 90.00 120.55°
Closest atoms and distances in Å follow each position.
Sites, in units of the cell vectors:
Cl: 0.5000 0.5000 0.7500  4 Rh 2.53
Tl: 0.5000 0.5000 0.2500  4 Rh 2.71
Rh: 0.0000 0.0000 0.5138  2 Cl 2.53, 2 Tl 2.71
Rh: 0.0000 0.0000 0.9862  2 Cl 2.53, 2 Tl 2.71

Results
**D(E_F)**: 3.9 states/eV/f.u.
**Volume**: 17.98 A^3/atom
**Energy above the lowest structure with this stoichiometry**: 232 meV per atom
**Uncorrected formation energy**: 368.7 meV per atom

[11]
TlRh2Cl | GGA-PBE | optimized geometry

Cell: 5.3845 5.3845 5.3845 Å, 147.61 120.95 68.98°
Closest atoms and distances in Å follow each position.
Sites, in units of the cell vectors:
Rh: 0.0116 0.0116 0.0000  2 Cl 2.59, 2 Tl 2.77
Tl: 0.7500 0.2500 0.5000  4 Rh 2.77, 2 Tl 3.00, 4 Cl 3.05
Cl: 0.2500 0.7500 0.5000  4 Rh 2.59
Rh: 0.4884 0.4884 0.0000  2 Cl 2.59, 2 Tl 2.77

Results
**D(E_F)**: 4.4 states/eV/f.u.
**Volume**: 17.69 A^3/atom
**Energy above the lowest structure with this stoichiometry**: 152 meV per atom
**Uncorrected formation energy**: 289.0 meV per atom

[12]
Tl4RhCl6 | GGA-PBE | optimized geometry

Cell: 8.5343 8.5343 8.9935 Å, 90.00 90.00 90.00°
Closest atoms and distances in Å follow each position.
Sites, in units of the cell vectors:
Tl: 0.8454 0.3454 0.7500  6 Cl 3.11-3.33
Tl: 0.6546 0.8454 0.7500  6 Cl 3.11-3.33
Cl: 0.2229 0.3750 0.0000  1 Rh 2.59
Cl: 0.7229 0.1250 0.5000  1 Rh 2.59
Cl: 0.0000 0.0000 0.2367  1 Rh 2.37
Cl: 0.0000 0.0000 0.7633  1 Rh 2.37
Tl: 0.1546 0.6546 0.2500  6 Cl 3.11-3.33
Cl: 0.8750 0.7229 0.5000  1 Rh 2.59
Tl: 0.6546 0.8454 0.2500  6 Cl 3.11-3.33
Tl: 0.8454 0.3454 0.2500  6 Cl 3.11-3.33
Tl: 0.3454 0.1546 0.7500  6 Cl 3.11-3.33
Tl: 0.1546 0.6546 0.7500  6 Cl 3.11-3.33
Cl: 0.1250 0.2771 0.5000  1 Rh 2.59
Cl: 0.5000 0.5000 0.2633  1 Rh 2.37
Cl: 0.7771 0.6250 0.0000  1 Rh 2.59
Rh: 0.5000 0.5000 0.0000  6 Cl 2.37-2.59
Cl: 0.3750 0.7771 0.0000  1 Rh 2.59
Tl: 0.3454 0.1546 0.2500  6 Cl 3.11-3.33
Cl: 0.2771 0.8750 0.5000  1 Rh 2.59
Cl: 0.5000 0.5000 0.7367  1 Rh 2.37
Rh: 0.0000 0.0000 0.5000  6 Cl 2.37-2.59
Cl: 0.6250 0.2229 0.0000  1 Rh 2.59

Results
**D(E_F)**: 3.4 states/eV/f.u.
**Volume**: 29.77 A^3/atom
**Uncorrected formation energy**: -818.1 meV per atom

Look up the volume of the fourth one.
20.19 A^3/atom